No. 1
Material: FeCuRh2
Method: DFT, GGA-PBEsol
State: relaxed

For the total energy, the calculation gives -29.310 eV for the cell shown. Its symmetry is No. 119. Its formation energy from the elements is 25 kJ/mol of formula units.

Unit cell a=3.647 b=3.647 c=4.568 alpha=113.52 beta=113.52 gamma=90.00
Element x y z (fractional)
Cu  0.500  0.500  0.000
Fe  0.250  0.750  0.500
Rh  0.000  0.000  0.000
Rh  0.750  0.250  0.500

---

No. 2
Material: ReS2O
Method: DFT, GGA-PBEsol
State: relaxed

For the total energy, the calculation gives -27.502 eV for the cell shown. For the energy relative to the elements, uncorrected, the calculation gives -0.15 eV per formula unit. Its symmetry is No. 166.

Unit cell a=3.247 b=3.247 c=6.816 alpha=76.22 beta=76.22 gamma=60.00
Element x y z (fractional)
S  0.091  0.091  0.726
S  0.909  0.909  0.274
O  0.000  0.000  0.000
Re  0.500  0.500  0.500

---

No. 3
Material: CaMgAu2
Method: DFT, GGA-PBEsol
State: relaxed

For the total energy, the calculation gives -14.144 eV for the cell shown. Its symmetry is No. 123. Its formation energy from the elements is -236 kJ/mol of formula units.

Unit cell a=3.420 b=4.857 c=4.857 alpha=90.00 beta=90.00 gamma=90.00
Element x y z (fractional)
Au  0.000  0.000  0.500
Au  0.000  0.500  0.000
Ca  0.500  0.500  0.500
Mg  0.500  0.000  0.000

---

No. 4
Material: Al2AsRu
Method: DFT, GGA-PBEsol
State: relaxed

For the total energy, the calculation gives -23.959 eV for the cell shown. Its symmetry is No. 139. Its formation energy from the elements is -48 kJ/mol of formula units.

Unit cell a=3.854 b=3.854 c=4.755 alpha=113.91 beta=113.91 gamma=90.00
Element x y z (fractional)
Al  0.250  0.750  0.500
Al  0.750  0.250  0.500
As  0.500  0.500  0.000
Ru  0.000  0.000  0.000

---

No. 5
Material: NaBe3O
Method: DFT, GGA-PBEsol
State: relaxed

For the total energy, the calculation gives -7.229 eV for the cell shown. For the energy relative to the elements, uncorrected, the calculation gives 11.42 eV per formula unit. Its symmetry is No. 221.

Unit cell a=4.475 b=4.475 c=4.475 alpha=90.00 beta=90.00 gamma=90.00
Element x y z (fractional)
O  0.500  0.500  0.500
Na  0.000  0.000  0.000
Be  0.500  0.000  0.000
Be  0.000  0.500  0.000
Be  0.000  0.000  0.500

---

No. 6
Material: IrRuAu
Method: DFT, GGA-PBEsol
State: relaxed

For the total energy, the calculation gives -22.117 eV for the cell shown. Its symmetry is No. 156. For the excess energy over the best structure of this formula in the dataset, the calculation gives 0.0 meV/atom. Its formation energy from the elements is 174 kJ/mol of formula units.

Unit cell a=2.681 b=4.402 c=4.402 alpha=120.00 beta=90.00 gamma=90.00
Element x y z (fractional)
Au  0.973  0.000  0.000
Ru  0.268  0.667  0.333
Ir  0.759  0.333  0.667